No. 1
Here is BiPSe2 after structural relaxation from the Alexandria database. Energies are from PBE-GGA.

a = 4.9917 Å, b = 4.9917 Å, c = 4.9917 Å
α = 60.00°, β = 60.00°, γ = 60.00°
Last column: nearest neighbours and their distance in Å.
Element x y z (fractional)
P 0.0000 0.0000 0.0000  8 Se 3.06
Bi 0.5000 0.5000 0.5000  8 Se 3.06
Se 0.7500 0.7500 0.7500  4 Bi 3.06, 4 P 3.06
Se 0.2500 0.2500 0.2500  4 Bi 3.06, 4 P 3.06

Results
The formation energy without anion corrections is 389 meV per atom. As for the magnetization: 0.0 μB/f.u. For the density, the calculation gives 7.512 g cm⁻³. Its symmetry is No. 225. As for the crystal system: cubic. The value obtained for the density of states at the Fermi level is 0.603 states/eV per atom. The calculation puts the calculated total energy at -14.7 eV per cell.

---

No. 2
Here is Pm2InBPt6 after structural relaxation from the Alexandria database. Energies are from PBE-GGA.

a = 5.7674 Å, b = 7.6597 Å, c = 8.7705 Å
α = 90.00°, β = 90.00°, γ = 90.00°
Last column: nearest neighbours and their distance in Å.
Element x y z (fractional)
Pt 0.7424 0.3855 0.5000  1 B 2.11
Pt 0.7385 0.0139 0.0000  1 B 2.12
Pt 0.7576 0.6145 0.0000  1 B 2.11
Pt 0.2424 0.6145 0.0000  1 B 2.11
Pt 0.0000 0.8674 0.7581  1 B 2.15
Pt 0.0000 0.8674 0.2419  1 B 2.15
Pt 0.5000 0.1326 0.7419  1 B 2.15
Pt 0.2385 0.9861 0.5000  1 B 2.12
Pt 0.7615 0.9861 0.5000  1 B 2.12
Pt 0.2576 0.3855 0.5000  1 B 2.11
Pt 0.2615 0.0139 0.0000  1 B 2.12
Pt 0.5000 0.1326 0.2581  1 B 2.15
Pm 0.0000 0.2779 0.7787  7 Pt 2.98-3.18
Pm 0.5000 0.7221 0.7213  7 Pt 2.98-3.18
Pm 0.5000 0.7221 0.2787  7 Pt 2.98-3.18
Pm 0.0000 0.2779 0.2213  7 Pt 2.98-3.18
In 0.5000 0.3305 0.0000  6 Pt 2.63-2.79
In 0.0000 0.6695 0.5000  6 Pt 2.63-2.79
B 0.5000 0.1797 0.5000  6 Pt 2.11-2.15
B 0.0000 0.8203 0.0000  6 Pt 2.11-2.15

Results
The formation energy comes out at -0.81 eV/atom. As for the magnetization: 0.0 μB/f.u. For the density, the calculation gives 13.596 g cm⁻³. Its symmetry is No. 59. As for the crystal system: orthorhombic. The value obtained for the density of states at the Fermi level is 0.360 states/eV per atom. The calculation puts the calculated total energy at -126.6 eV per cell.

---

No. 3
Here is Ti2VGeC after structural relaxation from the Alexandria database. Energies are from PBE-GGA.

a = 4.2132 Å, b = 4.2132 Å, c = 3.8763 Å
α = 90.00°, β = 90.00°, γ = 90.00°
Last column: nearest neighbours and their distance in Å.
Element x y z (fractional)
Ti 0.5000 0.0000 0.0000  2 C 2.11
Ti 0.0000 0.5000 0.0000  2 C 2.11
Ge 0.5000 0.5000 0.5000  8 Ti 2.86, 4 V 2.98
C 0.0000 0.0000 0.0000  2 V 1.94, 4 Ti 2.11
V 0.0000 0.0000 0.5000  2 C 1.94

Results
The formation energy comes out at -0.48 eV/atom. As for the magnetization: 0.0 μB/f.u. For the density, the calculation gives 5.583 g cm⁻³. Its symmetry is No. 123. As for the crystal system: tetragonal. The value obtained for the density of states at the Fermi level is 0.971 states/eV per atom. The calculation puts the calculated total energy at -41.2 eV per cell.